A plane-wave DFT calculation with PBE with a Hubbard U was carried out for an optimized crystal structure of MnNbN2F.

Values from the calculation:
Calculated total energy (eV per cell): -38.7
Mass density (Mg/m³): 4.76
Offset from the most stable computed form (meV per atom): 0
Spin magnetization (μB per formula unit): 4.931

The structure in CIF format:
```
data_MnNbN2F
_chemical_formula_sum 'Mn1 Nb1 N2 F1'
_cell_length_a 4.107
_cell_length_b 4.107
_cell_length_c 4.031
_cell_angle_alpha 90.00
_cell_angle_beta 90.00
_cell_angle_gamma 90.00
_symmetry_space_group_name_H-M 'P 1'
_symmetry_Int_Tables_number 1
loop_
_symmetry_equiv_pos_as_xyz
'x,y,z'
loop_
_atom_site_label
_atom_site_fract_x
_atom_site_fract_y
_atom_site_fract_z
Mn1 0.000 0.000 0.000
Nb1 0.500 0.500 0.500
N1 0.000 0.500 0.500
N2 0.500 0.000 0.500
F1 0.500 0.500 0.000
```